[1]
TbBeSn | PBE-GGA | relaxed

Cell: 6.646 6.646 6.646 Å, 90.00 90.00 90.00°
Sites, in units of the cell vectors:
Tb 0.000 0.000 0.000
Tb 0.000 0.500 0.500
Tb 0.500 0.000 0.500
Tb 0.500 0.500 0.000
Be 0.000 0.000 0.500
Be 0.000 0.500 0.000
Be 0.500 0.000 0.000
Be 0.500 0.500 0.500
Sn 0.250 0.250 0.750
Sn 0.250 0.750 0.250
Sn 0.750 0.250 0.250
Sn 0.750 0.750 0.750

symmetry	F-43m
energy	-3.9776	eV per atom


[2]
SrLuAuSe3 | PBE-GGA | relaxed

Cell: 13.659 4.078 10.771 Å, 90.00 90.00 90.00°
Sites, in units of the cell vectors:
Sr 0.225 0.250 0.049
Sr 0.275 0.750 0.549
Sr 0.725 0.250 0.451
Sr 0.775 0.750 0.951
Lu 0.014 0.250 0.329
Lu 0.486 0.750 0.829
Lu 0.514 0.250 0.171
Lu 0.986 0.750 0.671
Au 0.007 0.750 0.096
Au 0.493 0.250 0.596
Au 0.507 0.750 0.404
Au 0.993 0.250 0.904
Se 0.103 0.250 0.564
Se 0.123 0.750 0.866
Se 0.150 0.750 0.258
Se 0.350 0.250 0.758
Se 0.377 0.250 0.366
Se 0.397 0.750 0.064
Se 0.603 0.250 0.936
Se 0.623 0.750 0.634
Se 0.650 0.750 0.242
Se 0.850 0.250 0.742
Se 0.877 0.250 0.134
Se 0.897 0.750 0.436

ΔE to the lowest computed polymorph	0	meV per atom
symmetry	Pnma